# 1
VASP calculation (PBE) on Zn2H2O3 after structural relaxation.

abc: 3.2102 3.2579 7.5319
angles: 83.84 79.84 65.97
Space group P1 (No. 1)
Symmetry-distinct sites (fractional):
Zn: 0.0000 0.0000 0.0000
Zn: 0.0486 0.0278 0.4075
H: 0.1003 0.1533 0.1909
H: 0.6366 0.6981 0.7782
O: 0.4007 0.8262 0.6413
O: 0.6910 0.6497 0.9240
O: 0.6911 0.6613 0.4640

Summary:
- DFT total energy (eV per atom) = -3.994

---

# 2
VASP calculation (PBE) on Zn2H11O8 after structural relaxation.

abc: 4.4392 5.4851 5.5987
angles: 90.22 90.37 91.99
Space group P1 (No. 1)
Symmetry-distinct sites (fractional):
Zn: 0.0000 0.0000 0.0000
Zn: 0.4978 0.4858 0.4592
H: 0.0310 0.3497 0.6752
H: 0.0955 0.6278 0.7199
H: 0.2150 0.4882 0.0676
H: 0.2955 0.0003 0.4507
H: 0.4595 0.1033 0.8015
H: 0.4847 0.1007 0.1990
H: 0.5393 0.7627 0.8868
H: 0.7185 0.5161 0.9931
H: 0.7837 0.9335 0.4907
H: 0.9091 0.2649 0.3730
H: 0.9590 0.6981 0.3558
O: 0.1680 0.5055 0.2387
O: 0.1999 0.4723 0.7386
O: 0.2998 0.0018 0.2710
O: 0.3089 0.9729 0.7573
O: 0.7023 0.2381 0.0469
O: 0.7219 0.7034 0.9712
O: 0.7914 0.2295 0.5200
O: 0.8119 0.7505 0.4837

Summary:
- energy relative to the lowest polymorph listed for this composition (kcal/mol of atoms) = 0.00
- DFT total energy (eV per atom) = -4.648

---

# 3
VASP calculation (PBE) on Zn4H10O9 after structural relaxation.

abc: 8.2875 8.2875 4.4527
angles: 90.00 90.00 90.00
Space group P4_2/nmc (No. 137, origin choice 2)
Symmetry-distinct sites (fractional):
Zn: 0.0472 0.7500 0.0430
H: 0.0278 0.1463 0.4221
H: 0.2500 0.2500 0.0582
O: 0.0689 0.5689 0.7500
O: 0.0963 0.2500 0.5604
O: 0.2500 0.7500 0.2500

Summary:
- DFT total energy (eV per atom) = -4.500

---

# 4
VASP calculation (PBE) on ZrHO3 after structural relaxation.

abc: 4.0921 4.0921 4.1670
angles: 90.00 90.00 90.00
Space group P4mm (No. 99)
Symmetry-distinct sites (fractional):
Zr: 0.0000 0.0000 0.0000
H: 0.5000 0.5000 0.0221
O: 0.0000 0.0000 0.5024
O: 0.0000 0.5000 0.0147

Summary:
- DFT total energy (eV per atom) = -6.650
- M_tot (μB per formula unit) = 1.0

---

# 5
VASP calculation (PBE) on ZrHO3 after structural relaxation.

abc: 5.7350 8.8806 4.8794
angles: 90.00 125.61 90.00
Space group C2/m (No. 12)
Symmetry-distinct sites (fractional):
Zr: 0.0000 0.1745 0.0000
H: 0.0000 0.5000 0.0000
H: 0.0000 0.5000 0.5000
O: 0.0486 0.0000 0.3049
O: 0.0543 0.3635 0.7788

Summary:
- DFT total energy (eV per atom) = -6.653
- M_tot (μB per formula unit) = 1.0

---

# 6
VASP calculation (PBE) on ZrHO3 after structural relaxation.

abc: 5.0049 11.0798 3.5833
angles: 90.00 114.40 90.00
Space group C2/m (No. 12)
Symmetry-distinct sites (fractional):
Zr: 0.0000 0.1571 0.0000
H: 0.0000 0.5000 0.0000
H: 0.0000 0.5000 0.5000
O: 0.1918 0.5000 0.8547
O: 0.2216 0.3224 0.3143

Summary:
- DFT total energy (eV per atom) = -7.215
- M_tot (μB per formula unit) = 1.0

---

# 7
VASP calculation (PBE) on Zr2H2O5 after structural relaxation.

abc: 3.5186 3.5186 5.9901
angles: 90.00 90.00 90.00
Space group P4/mmm (No. 123)
Symmetry-distinct sites (fractional):
Zr: 0.0000 0.0000 0.0000
Zr: 0.0000 0.0000 0.5000
H: 0.5000 0.5000 0.1740
O: 0.0000 0.5000 0.2751
O: 0.5000 0.5000 0.0000

Summary:
- energy relative to the lowest polymorph listed for this composition (kcal/mol of atoms) = 15.75
- DFT total energy (eV per atom) = -7.175
- M_tot (μB per formula unit) = 0.0

---

# 8
VASP calculation (PBE) on ZrHO3 after structural relaxation.

abc: 5.8071 7.3777 4.9624
angles: 90.00 90.00 90.00
Space group Pnma (No. 62)
Symmetry-distinct sites (fractional):
Zr: 0.0000 0.0000 0.0000
H: 0.0754 0.2500 0.4047
O: 0.0216 0.2500 0.2140
O: 0.2047 0.1021 0.6872

Summary:
- DFT total energy (eV per atom) = -7.298
- M_tot (μB per formula unit) = 1.0

---

# 9
VASP calculation (PBE) on ZrHO3 after structural relaxation.

abc: 3.3570 3.3570 3.3570
angles: 90.00 90.00 90.00
Space group Pm-3m (No. 221)
Symmetry-distinct sites (fractional):
Zr: 0.0000 0.0000 0.0000
H: 0.5000 0.5000 0.5000
O: 0.0000 0.5000 0.5000

Summary:
- DFT total energy (eV per atom) = -6.541
- M_tot (μB per formula unit) = 1.0

---

# 10
VASP calculation (PBE) on ZrHO3 after structural relaxation.

abc: 5.1035 5.1035 13.2681
angles: 90.00 90.00 120.00
Space group R-3 (No. 148, hexagonal axes)
Symmetry-distinct sites (fractional):
Zr: 0.0000 0.0000 0.1383
H: 0.0000 0.0000 0.4161
O: 0.0237 0.6316 0.0885

Summary:
- DFT total energy (eV per atom) = -6.806
- M_tot (μB per formula unit) = 1.0

---

# 11
VASP calculation (PBE) on Zr2H2O5 after structural relaxation.

abc: 12.7090 3.2643 4.8923
angles: 90.00 99.08 90.00
Space group C2/m (No. 12)
Symmetry-distinct sites (fractional):
Zr: 0.1356 0.0000 0.3550
H: 0.1440 0.5000 0.8795
O: 0.0000 0.0000 0.5000
O: 0.1199 0.5000 0.0735
O: 0.1890 0.5000 0.6236

Summary:
- energy relative to the lowest polymorph listed for this composition (kcal/mol of atoms) = 0.00
- DFT total energy (eV per atom) = -7.858
- M_tot (μB per formula unit) = 0.0

---

# 12
VASP calculation (PBE) on HOs after structural relaxation.

abc: 2.7153 2.7153 2.7742
angles: 90.00 90.00 120.00
Space group P-6m2 (No. 187)
Symmetry-distinct sites (fractional):
H: 0.0000 0.0000 0.0000
Os: 0.6667 0.3333 0.5000

Summary:
- energy relative to the lowest polymorph listed for this composition (kcal/mol of atoms) = 6.60
- DFT total energy (eV per atom) = -6.547
- M_tot (μB per formula unit) = 0.0